1.
This record from Alexandria describes PaTi4Nb after structural relaxation. The functional is PBE-GGA.

Its final energy is -101.796 eV/cell. The space-group type is P-1. Its energy above the lowest structure with this stoichiometry is 0.0 meV/atom. The calculation puts the density of states at the Fermi level at 8.05 states/eV/f.u. As for the volume: 223 Å³ per cell.

Lattice parameters (Å, degrees): 2.981 8.058 9.969 111.17 91.96 90.27
Atoms (fractional coordinates):
Pa 0.240 0.376 0.372
Pa 0.760 0.624 0.628
Ti 0.011 0.220 0.888
Ti 0.015 0.260 0.616
Ti 0.462 0.487 0.133
Ti 0.479 0.024 0.363
Ti 0.521 0.976 0.637
Ti 0.538 0.513 0.867
Ti 0.985 0.740 0.384
Ti 0.989 0.780 0.112
Nb 0.290 0.874 0.879
Nb 0.710 0.126 0.121

---

2.
This record from Alexandria describes PaTiNbW after structural relaxation. The functional is PBE-GGA.

Its final energy is -161.287 eV/cell. The space-group type is F-43m. The calculation puts the density of states at the Fermi level at 3.46 states/eV/f.u. As for the volume: 298 Å³ per cell.

Lattice parameters (Å, degrees): 6.678 6.678 6.678 90.00 90.00 90.00
Atoms (fractional coordinates):
Pa 0.000 0.000 0.000
Pa 0.000 0.500 0.500
Pa 0.500 0.000 0.500
Pa 0.500 0.500 0.000
Ti 0.000 0.000 0.500
Ti 0.000 0.500 0.000
Ti 0.500 0.000 0.000
Ti 0.500 0.500 0.500
Nb 0.250 0.250 0.250
Nb 0.250 0.750 0.750
Nb 0.750 0.250 0.750
Nb 0.750 0.750 0.250
W 0.250 0.250 0.750
W 0.250 0.750 0.250
W 0.750 0.250 0.250
W 0.750 0.750 0.750